Here is crystalline Sm2PuIr3 at its relaxed geometry from the Alexandria database. Energies are from GGA-PBE.

Results
Energy relative to the elements = -0.3968 eV per atom

abc: 4.217 5.716 6.826
angles: 114.75 107.99 90.00
Element x y z (fractional)
Sm 0.670 0.170 0.341
Sm 0.330 0.830 0.659
Pu 0.000 0.500 0.000
Ir 0.357 0.357 0.715
Ir 0.000 0.000 0.000
Ir 0.643 0.643 0.285

***

Here is crystalline ZrAgCl at its relaxed geometry from the Alexandria database. Energies are from GGA-PBE.

Results
Polymorph energy (0 for the lowest one) = 177 meV per atom
Energy relative to the elements, uncorrected = -441 meV/atom

abc: 7.830 7.528 3.185
angles: 83.40 72.77 23.83
Element x y z (fractional)
Ag 0.013 0.013 0.987
Cl 0.312 0.312 0.688
Zr 0.675 0.675 0.325